Compound: UV2Pd
Source: the Alexandria database
Functional: GGA-PBE
Structure: relaxed

POSCAR file:
```
UV2Pd
1.0
3.231 0.000 0.000
0.000 3.231 0.000
0.000 0.000 6.074
U V Pd
1 2 1
Direct
0.000 0.000 0.000
0.500 0.500 0.230
0.500 0.500 0.770
0.000 0.000 0.500
```

ΔE_f = 0.12 eV per atom
E above lowest polymorph = 0.061 eV/atom


Compound: UV2Pd
Source: the Alexandria database
Functional: GGA-PBE
Structure: relaxed

POSCAR file:
```
UV2Pd
1.0
4.356 0.000 0.000
-2.178 3.772 0.000
0.000 0.000 11.654
U V Pd
3 6 3
Direct
0.000 0.000 0.000
0.333 0.667 0.667
0.667 0.333 0.333
0.000 0.000 0.266
0.000 0.000 0.734
0.333 0.667 0.400
0.333 0.667 0.933
0.667 0.333 0.067
0.667 0.333 0.600
0.000 0.000 0.500
0.333 0.667 0.167
0.667 0.333 0.833
```

ΔE_f = 0.21 eV per atom
E above lowest polymorph = 0.145 eV/atom


Compound: UVPd
Source: the Alexandria database
Functional: GGA-PBE
Structure: relaxed

POSCAR file:
```
UVPd
1.0
3.300 0.000 0.000
0.000 3.300 0.000
0.000 0.000 9.114
U V Pd
2 2 2
Direct
0.250 0.250 0.082
0.750 0.750 0.918
0.250 0.250 0.730
0.750 0.750 0.270
0.250 0.250 0.412
0.750 0.750 0.588
```

ΔE_f = -0.01 eV per atom
E above lowest polymorph = 0.006 eV/atom


Compound: UVPd
Source: the Alexandria database
Functional: GGA-PBE
Structure: relaxed

POSCAR file:
```
UVPd
1.0
2.865 0.000 0.000
0.000 2.865 0.000
0.000 0.000 12.529
U V Pd
2 2 2
Direct
0.000 0.000 0.000
0.500 0.500 0.500
0.000 0.000 0.330
0.500 0.500 0.830
0.000 0.000 0.694
0.500 0.500 0.194
```

ΔE_f = -0.02 eV per atom
E above lowest polymorph = 0.000 eV/atom